Record 1
# NaTl2Cd

A relaxed structure of NaTl2Cd (PBE-GGA, the Alexandria database).

Lattice parameters (Å, degrees): 5.4490 7.2766 5.4727 90.00 90.00 90.00
Space group Pmmn (No. 59, origin choice 2)
Asymmetric unit:
Na  0.2500  0.2500  0.2229 x2
Tl  0.2500  0.9998  0.7274 x4
Cd  0.2500  0.7500  0.2231 x2

E above lowest polymorph (eV/atom): 0.000
E_form (eV/atom): -0.076

---

Record 2
# Th4HgBiSb2

A relaxed structure of Th4HgBiSb2 (PBE-GGA, the Alexandria database).

Lattice parameters (Å, degrees): 7.8223 4.4865 7.8607 90.00 109.10 90.00
Space group P2/m (No. 10)
Asymmetric unit:
Th  0.2461  0.0000  0.2418 x2
Th  0.2532  0.5000  0.7590 x2
Hg  0.0000  0.5000  0.0000 x1
Bi  0.0000  0.0000  0.5000 x1
Sb  0.5000  0.0000  0.0000 x1
Sb  0.5000  0.5000  0.5000 x1

Formation energy from raw total energies (eV/atom): -0.610

---

Record 3
# CsNi3Te3

A relaxed structure of CsNi3Te3 (PBE-GGA, the Alexandria database).

Lattice parameters (Å, degrees): 9.9840 9.9840 4.5306 90.00 90.00 120.00
Space group P6_3/m (No. 176)
Asymmetric unit:
Cs  0.3333  0.6667  0.2500 x2
Ni  0.0276  0.8505  0.2500 x6
Te  0.0485  0.7365  0.7500 x6

Formation energy from raw total energies (eV/atom): -0.349

---

Record 4
# Ba4SbPdI2

A relaxed structure of Ba4SbPdI2 (PBE-GGA, the Alexandria database).

Lattice parameters (Å, degrees): 8.5326 4.8941 8.9673 90.00 107.82 90.00
Space group P2/m (No. 10)
Asymmetric unit:
Ba  0.2306  0.0000  0.2121 x2
Ba  0.2462  0.5000  0.7938 x2
Sb  0.5000  0.0000  0.0000 x1
Pd  0.0000  0.5000  0.0000 x1
I  0.0000  0.0000  0.5000 x1
I  0.5000  0.5000  0.5000 x1

Formation energy from raw total energies (eV/atom): -1.160

---

Record 5
# Al2HgBr

A relaxed structure of Al2HgBr (PBE-GGA, the Alexandria database).

Lattice parameters (Å, degrees): 3.3054 4.8599 11.8696 90.00 90.00 90.00
Space group Imm2 (No. 44)
Asymmetric unit:
Al  0.0000  0.0000  0.0000 x2
Al  0.0000  0.5000  0.3059 x2
Hg  0.0000  0.0000  0.6003 x2
Br  0.0000  0.5000  0.8158 x2

E above lowest polymorph (eV/atom): 0.109
Formation energy from raw total energies (eV/atom): 0.101

---

Record 6
# NaGaHg6

A relaxed structure of NaGaHg6 (PBE-GGA, the Alexandria database).

Lattice parameters (Å, degrees): 4.9315 4.9315 8.3978 90.00 90.00 90.00
Space group P4/mmm (No. 123)
Asymmetric unit:
Na  0.0000  0.0000  0.0000 x1
Ga  0.0000  0.0000  0.5000 x1
Hg  0.0000  0.5000  0.2587 x4
Hg  0.5000  0.5000  0.0000 x1
Hg  0.5000  0.5000  0.5000 x1

E above lowest polymorph (eV/atom): 0.000
E_form (eV/atom): -0.064

---

Record 7
# ThNiSn

A relaxed structure of ThNiSn (PBE-GGA, the Alexandria database).

Lattice parameters (Å, degrees): 3.3640 3.3640 11.5438 90.00 90.00 90.00
Space group I4mm (No. 107)
Asymmetric unit:
Th  0.0000  0.0000  0.0000 x2
Ni  0.0000  0.0000  0.6575 x2
Sn  0.0000  0.0000  0.2840 x2

E_form (eV/atom): -0.340

---

Record 8
# RbErCd2Br8

A relaxed structure of RbErCd2Br8 (PBE-GGA, the Alexandria database).

Lattice parameters (Å, degrees): 6.9587 6.9615 9.6817 77.82 78.89 77.71
Space group P-1 (No. 2)
Asymmetric unit:
Rb  0.0000  0.0000  0.0000 x1
Er  0.0000  0.0000  0.5000 x1
Cd  0.4480  0.4371  0.2221 x2
Br  0.1723  0.7291  0.7206 x2
Br  0.2461  0.8037  0.2890 x2
Br  0.2763  0.2449  0.4765 x2
Br  0.3487  0.3081  0.0113 x2

Formation energy from raw total energies (eV/atom): -1.297

---

Record 9
# Al2CdFe

A relaxed structure of Al2CdFe (PBE-GGA, the Alexandria database).

Lattice parameters (Å, degrees): 2.8976 2.8976 26.8581 90.00 90.00 120.00
Space group R-3m (No. 166, hexagonal axes)
Asymmetric unit:
Al  0.0000  0.0000  0.2335 x6
Cd  0.0000  0.0000  0.0000 x3
Fe  0.0000  0.0000  0.5000 x3

E_form (eV/atom): 0.042

---

Record 10
# Pm5Al2Ge4

A relaxed structure of Pm5Al2Ge4 (PBE-GGA, the Alexandria database).

Lattice parameters (Å, degrees): 19.3750 4.2622 7.3346 90.00 105.54 90.00
Space group C2/m (No. 12)
Asymmetric unit:
Pm  0.0000  0.0000  0.0000 x2
Pm  0.1552  0.5000  0.4217 x4
Pm  0.1634  0.5000  0.9434 x4
Al  0.0748  0.0000  0.6321 x4
Ge  0.0105  0.5000  0.7019 x4
Ge  0.2108  0.0000  0.7105 x4

E_form (eV/atom): -0.454

---

Record 11
# Li2TeH

A relaxed structure of Li2TeH (PBE-GGA, the Alexandria database).

Lattice parameters (Å, degrees): 6.5009 6.5009 6.5009 90.00 90.00 90.00
Space group Fm-3m (No. 225)
Asymmetric unit:
Li  0.2500  0.2500  0.2500 x8
Te  0.0000  0.0000  0.0000 x4
H  0.0000  0.0000  0.5000 x4

E above lowest polymorph (eV/atom): 0.191

---

Record 12
# LaTeMo4

A relaxed structure of LaTeMo4 (PBE-GGA, the Alexandria database).

Lattice parameters (Å, degrees): 7.8117 7.8117 7.8117 90.00 90.00 90.00
Space group F-43m (No. 216)
Asymmetric unit:
La  0.0000  0.0000  0.0000 x4
Te  0.2500  0.2500  0.2500 x4
Mo  0.1239  0.1239  0.6239 x16

Formation energy from raw total energies (eV/atom): 0.416

---

Record 13
# HoIn4AgS8

A relaxed structure of HoIn4AgS8 (PBE-GGA, the Alexandria database).

Lattice parameters (Å, degrees): 7.8147 7.8147 19.1295 90.00 90.00 120.00
Space group R3m (No. 160, hexagonal axes)
Asymmetric unit:
Ho  0.0000  0.0000  0.0000 x3
In  0.0000  0.0000  0.6165 x3
In  0.1744  0.3489  0.8242 x9
Ag  0.0000  0.0000  0.3663 x3
S  0.0000  0.0000  0.2347 x3
S  0.0000  0.0000  0.7526 x3
S  0.0137  0.5068  0.7484 x9
S  0.1766  0.3532  0.5726 x9

Formation energy from raw total energies (eV/atom): -0.765

---

Record 14
# SmIn4Ni2

A relaxed structure of SmIn4Ni2 (PBE-GGA, the Alexandria database).

Lattice parameters (Å, degrees): 18.2651 4.4672 7.0204 90.00 90.00 90.00
Space group Pnma (No. 62)
Asymmetric unit:
Sm  0.1402  0.2500  0.0245 x4
In  0.0320  0.7500  0.8488 x4
In  0.0717  0.2500  0.5068 x4
In  0.1849  0.7500  0.3243 x4
In  0.1957  0.7500  0.7379 x4
Ni  0.0411  0.7500  0.2428 x4
Ni  0.2169  0.2500  0.5355 x4

E_form (eV/atom): -0.314

---

Record 15
# LaDyCd2Au4

A relaxed structure of LaDyCd2Au4 (PBE-GGA, the Alexandria database).

Lattice parameters (Å, degrees): 5.0220 5.0220 24.6178 90.00 90.00 120.00
Space group R-3m (No. 166, hexagonal axes)
Asymmetric unit:
La  0.0000  0.0000  0.0000 x3
Dy  0.0000  0.0000  0.5000 x3
Cd  0.0000  0.0000  0.2499 x6
Au  0.0000  0.0000  0.1299 x6
Au  0.0000  0.0000  0.3800 x6

E_form (eV/atom): -0.665

---

Record 16
# PrPaC2

A relaxed structure of PrPaC2 (PBE-GGA, the Alexandria database).

Lattice parameters (Å, degrees): 3.6929 3.6929 18.1807 90.00 90.00 120.00
Space group R-3m (No. 166, hexagonal axes)
Asymmetric unit:
Pr  0.0000  0.0000  0.0000 x3
Pa  0.0000  0.0000  0.5000 x3
C  0.0000  0.0000  0.2371 x6

E above lowest polymorph (eV/atom): 0.000
E_form (eV/atom): -0.228

---

Record 17
# LaOs2

A relaxed structure of LaOs2 (PBE-GGA, the Alexandria database).

Lattice parameters (Å, degrees): 5.5070 4.2365 11.2023 90.00 90.00 90.00
Space group Pnma (No. 62)
Asymmetric unit:
La  0.1133  0.2500  0.1314 x4
Os  0.1125  0.7500  0.3307 x4
Os  0.1132  0.2500  0.4416 x4

E_form (eV/atom): 0.230

---

Record 18
# LiCeNdOs

A relaxed structure of LiCeNdOs (PBE-GGA, the Alexandria database).

Lattice parameters (Å, degrees): 7.0957 7.0957 7.0957 90.00 90.00 90.00
Space group F-43m (No. 216)
Asymmetric unit:
Li  0.0000  0.0000  0.0000 x4
Ce  0.2500  0.2500  0.2500 x4
Nd  0.2500  0.2500  0.7500 x4
Os  0.0000  0.0000  0.5000 x4

E_form (eV/atom): -0.044

---

Record 19
# ScNi6B2

A relaxed structure of ScNi6B2 (PBE-GGA, the Alexandria database).

Lattice parameters (Å, degrees): 9.6690 9.6690 9.6690 90.00 90.00 90.00
Space group Fd-3m (No. 227, origin choice 2)
Asymmetric unit:
Sc  0.1250  0.1250  0.1250 x8
Ni  0.0911  0.3750  0.8750 x48
B  0.0000  0.0000  0.5000 x16

E_form (eV/atom): -0.087

---

Record 20
# Na3La2PmSe6

A relaxed structure of Na3La2PmSe6 (PBE-GGA, the Alexandria database).

Lattice parameters (Å, degrees): 18.7559 4.3415 8.5894 90.00 102.34 90.00
Space group C2/m (No. 12)
Asymmetric unit:
Na  0.0000  0.0000  0.0000 x2
Na  0.1659  0.5000  0.3320 x4
La  0.1658  0.5000  0.8304 x4
Pm  0.0000  0.0000  0.5000 x2
Se  0.0016  0.5000  0.7376 x4
Se  0.1617  0.0000  0.5856 x4
Se  0.1692  0.0000  0.0758 x4

Formation energy from raw total energies (eV/atom): -1.734

---

Record 21
# Y4GeTe3

A relaxed structure of Y4GeTe3 (PBE-GGA, the Alexandria database).

Lattice parameters (Å, degrees): 8.7279 12.2587 4.2976 90.00 90.00 90.00
Space group Cmmm (No. 65)
Asymmetric unit:
Y  0.0000  0.2336  0.0000 x4
Y  0.2234  0.0000  0.5000 x4
Ge  0.0000  0.0000  0.0000 x2
Te  0.0000  0.5000  0.0000 x2
Te  0.2500  0.2500  0.5000 x4

Formation energy from raw total energies (eV/atom): -1.309

---

Record 22
# SiTePN2

A relaxed structure of SiTePN2 (PBE-GGA, the Alexandria database).

Lattice parameters (Å, degrees): 3.5458 3.5458 7.5600 90.00 90.00 90.00
Space group P4/mmm (No. 123)
Asymmetric unit:
Si  0.0000  0.0000  0.0000 x1
Te  0.0000  0.0000  0.5000 x1
P  0.5000  0.5000  0.5000 x1
N  0.0000  0.5000  0.0000 x2

E above lowest polymorph (eV/atom): 0.000
Formation energy from raw total energies (eV/atom): 0.804

---

Record 23
# SiOs2Pt

A relaxed structure of SiOs2Pt (PBE-GGA, the Alexandria database).

Lattice parameters (Å, degrees): 2.8026 2.8026 25.1312 90.00 90.00 120.00
Space group R3m (No. 160, hexagonal axes)
Asymmetric unit:
Si  0.0000  0.0000  0.0000 x3
Os  0.0000  0.0000  0.4937 x3
Os  0.0000  0.0000  0.7427 x3
Pt  0.0000  0.0000  0.2551 x3

Formation energy from raw total energies (eV/atom): -0.052

---

Total magnetic moment readings, ordered: 0.0000, 0.0000, 0.0000, 0.0000, 0.0000, 0.0000, 0.0000, 0.0000, 0.3087, 0.0000, 0.2357, 0.0000, 0.0000, 0.0000, 0.0000, 0.0000, 0.0000, 0.1544, 0.0000, 0.0000, 0.0000, 0.0000, 0.0000 μB per atom